Entry 1:
Below is a PBEsol-optimized structure of NbV2O7, with properties calculated at the meta-GGA SCAN level.

Total energy   -13.779 eV per atom
Size of the total moment   0.0 μB/f.u.

CIF file:
```
data_NbV2O7
_chemical_formula_sum 'Nb4 V8 O28'
_space_group_name_H-M_alt 'P a -3'
_space_group_IT_number 205
_space_group_name_Hall '-P 2ac 2ab 3'
_cell_length_a 8.784
_cell_length_b 8.784
_cell_length_c 8.784
_cell_angle_alpha 90.00
_cell_angle_beta 90.00
_cell_angle_gamma 90.00
loop_
_atom_site_label
_atom_site_type_symbol
_atom_site_fract_x
_atom_site_fract_y
_atom_site_fract_z
Nb1 Nb 0.000 0.000 0.000
V1 V 0.115 0.615 0.885
O1 O 0.000 0.000 0.500
O2 O 0.063 0.699 0.409
```

Entry 2:
Below is a PBEsol-optimized structure of Nb2VZn2O8, with properties calculated at the meta-GGA SCAN level.

Total energy   -14.711 eV per atom
Size of the total moment   3.0 μB/f.u.

CIF file:
```
data_Nb2VZn2O8
_chemical_formula_sum 'Nb8 V4 Zn8 O32'
_space_group_name_H-M_alt 'C 1 2/c 1'
_space_group_IT_number 15
_cell_length_a 18.852
_cell_length_b 5.857
_cell_length_c 5.229
_cell_angle_alpha 90.00
_cell_angle_beta 91.29
_cell_angle_gamma 90.00
loop_
_space_group_symop_operation_xyz
'x,y,z'
'-x,-y,-z'
'-x,y,-z+1/2'
'x,-y,z+1/2'
'x+1/2,y+1/2,z'
'-x+1/2,-y+1/2,-z'
'-x+1/2,y+1/2,-z+1/2'
'x+1/2,-y+1/2,z+1/2'
loop_
_atom_site_label
_atom_site_type_symbol
_atom_site_fract_x
_atom_site_fract_y
_atom_site_fract_z
Nb1 Nb 0.113 0.159 0.253
V1 V 0.000 0.367 0.750
Zn1 Zn 0.220 0.343 0.765
O1 O 0.055 0.378 0.423
O2 O 0.065 0.126 0.906
O3 O 0.177 0.098 0.561
O4 O 0.193 0.358 0.131
```

Entry 3:
Below is a PBEsol-optimized structure of NbWO3, with properties calculated at the meta-GGA SCAN level.

Total energy   -25.373 eV per atom
Size of the total moment   3.1 μB/f.u.

CIF file:
```
data_NbWO3
_chemical_formula_sum 'Nb1 W1 O3'
_space_group_name_H-M_alt 'P m -3 m'
_space_group_IT_number 221
_space_group_name_Hall '-P 4 2 3'
_cell_length_a 3.914
_cell_length_b 3.914
_cell_length_c 3.914
_cell_angle_alpha 90.00
_cell_angle_beta 90.00
_cell_angle_gamma 90.00
loop_
_atom_site_label
_atom_site_type_symbol
_atom_site_fract_x
_atom_site_fract_y
_atom_site_fract_z
Nb1 Nb 0.000 0.000 0.000
W1 W 0.500 0.500 0.500
O1 O 0.000 0.500 0.500
```

Entry 4:
Below is a PBEsol-optimized structure of YNb3O, with properties calculated at the meta-GGA SCAN level.

Total energy   -24.005 eV per atom
Size of the total moment   0.0 μB/f.u.

CIF file:
```
data_YNb3O
_chemical_formula_sum 'Y1 Nb3 O1'
_space_group_name_H-M_alt 'P m -3 m'
_space_group_IT_number 221
_space_group_name_Hall '-P 4 2 3'
_cell_length_a 4.847
_cell_length_b 4.847
_cell_length_c 4.847
_cell_angle_alpha 90.00
_cell_angle_beta 90.00
_cell_angle_gamma 90.00
loop_
_atom_site_label
_atom_site_type_symbol
_atom_site_fract_x
_atom_site_fract_y
_atom_site_fract_z
Y1 Y 0.000 0.000 0.000
Nb1 Nb 0.000 0.000 0.500
O1 O 0.500 0.500 0.500
```

Entry 5:
Below is a PBEsol-optimized structure of NbZnO2, with properties calculated at the meta-GGA SCAN level.

Total energy   -16.275 eV per atom
Size of the total moment   0.0 μB/f.u.

CIF file:
```
data_NbZnO2
_chemical_formula_sum 'Nb3 Zn3 O6'
_space_group_name_H-M_alt 'R -3 m'
_space_group_IT_number 166
_space_group_name_Hall '-R 3 2"'
_cell_length_a 3.0869
_cell_length_b 3.0869
_cell_length_c 18.2609
_cell_angle_alpha 90.00
_cell_angle_beta 90.00
_cell_angle_gamma 120.00
loop_
_atom_site_label
_atom_site_type_symbol
_atom_site_fract_x
_atom_site_fract_y
_atom_site_fract_z
Nb1 Nb 0.0000 0.0000 0.0000
Zn1 Zn 0.0000 0.0000 0.5000
O1 O 0.0000 0.0000 0.1062
```

Entry 6:
Below is a PBEsol-optimized structure of NbZnO2, with properties calculated at the meta-GGA SCAN level.

Total energy   -15.961 eV per atom
Size of the total moment   1.0 μB/f.u.

CIF file:
```
data_NbZnO2
_chemical_formula_sum 'Nb4 Zn4 O8'
_space_group_name_H-M_alt 'I -4 2 d'
_space_group_IT_number 122
_space_group_name_Hall 'I -4 2bw'
_cell_length_a 4.914
_cell_length_b 4.914
_cell_length_c 8.605
_cell_angle_alpha 90.00
_cell_angle_beta 90.00
_cell_angle_gamma 90.00
loop_
_atom_site_label
_atom_site_type_symbol
_atom_site_fract_x
_atom_site_fract_y
_atom_site_fract_z
Nb1 Nb 0.000 0.000 0.000
Zn1 Zn 0.000 0.000 0.500
O1 O 0.231 0.750 0.625
```

Entry 7:
Below is a PBEsol-optimized structure of Nb2ZnO6, with properties calculated at the meta-GGA SCAN level.

Total energy   -15.540 eV per atom
Size of the total moment   0.0 μB/f.u.

CIF file:
```
data_Nb2ZnO6
_chemical_formula_sum 'Nb8 Zn4 O24'
_space_group_name_H-M_alt 'P b c n'
_space_group_IT_number 60
_cell_length_a 14.260
_cell_length_b 5.748
_cell_length_c 5.033
_cell_angle_alpha 90.00
_cell_angle_beta 90.00
_cell_angle_gamma 90.00
loop_
_space_group_symop_operation_xyz
'x,y,z'
'-x,-y,-z'
'-x+1/2,-y+1/2,z+1/2'
'x+1/2,y+1/2,-z+1/2'
'x+1/2,-y+1/2,-z'
'-x+1/2,y+1/2,z'
'-x,y,-z+1/2'
'x,-y,z+1/2'
loop_
_atom_site_label
_atom_site_type_symbol
_atom_site_fract_x
_atom_site_fract_y
_atom_site_fract_z
Nb1 Nb 0.160 0.184 0.249
Zn1 Zn 0.000 0.330 0.750
O1 O 0.079 0.385 0.085
O2 O 0.095 0.106 0.576
O3 O 0.244 0.122 0.921
```

Entry 8:
Below is a PBEsol-optimized structure of ZrNbO2, with properties calculated at the meta-GGA SCAN level.

Total energy   -20.988 eV per atom
Size of the total moment   1.7 μB/f.u.

CIF file:
```
data_ZrNbO2
_chemical_formula_sum 'Zr4 Nb4 O8'
_space_group_name_H-M_alt 'I -4 2 d'
_space_group_IT_number 122
_space_group_name_Hall 'I -4 2bw'
_cell_length_a 4.927
_cell_length_b 4.927
_cell_length_c 9.573
_cell_angle_alpha 90.00
_cell_angle_beta 90.00
_cell_angle_gamma 90.00
loop_
_atom_site_label
_atom_site_type_symbol
_atom_site_fract_x
_atom_site_fract_y
_atom_site_fract_z
Zr1 Zr 0.000 0.000 0.000
Nb1 Nb 0.000 0.000 0.500
O1 O 0.231 0.250 0.125
```

The records above give, respectively, E_form (uncorrected) values of -251 -227 -103 259 -145 -114 -243 -185 kJ/mol of atoms.